Entry from the Alexandria database: YPbS2N at its PBEsol-relaxed geometry (SCAN).

As for the total energy: -131.8 eV/cell. The calculation puts the total moment at 0.00 μB per cell. The calculation puts the uncorrected formation energy at 76 meV/atom.

The structure belongs to space group P4/mmm (No. 123); the cell edges are 5.083, 5.083 and 4.116 Å and the angles 90.00°, 90.00° and 90.00°. The asymmetric unit holds Y at (0.000, 0.000, 0.000), Pb at (0.500, 0.500, 0.500), S at (0.000, 0.500, 0.500) and N at (0.500, 0.500, 0.000).

=====

Entry from the Alexandria database: IrI2O2 at its PBEsol-relaxed geometry (SCAN).

As for the total energy: -155.6 eV/cell. The calculation puts the total moment at 1.78 μB per cell. The calculation puts the uncorrected formation energy at 292 meV/atom.

The structure belongs to space group P4/mmm (No. 123); the cell edges are 4.046, 4.046 and 5.679 Å and the angles 90.00°, 90.00° and 90.00°. The asymmetric unit holds Ir at (0.000, 0.000, 0.000), I at (0.000, 0.000, 0.500), I at (0.500, 0.500, 0.500) and O at (0.000, 0.500, 0.000).

=====

Entry from the Alexandria database: Ta2AgW at its PBEsol-relaxed geometry (SCAN).

As for the total energy: -465.4 eV/cell. The value obtained for the energy relative to the elements is 382 meV/atom. The calculation puts the total moment at 0.00 μB per cell.

The structure belongs to space group Cm (No. 8); the cell edges are 9.630, 2.751 and 5.145 Å and the angles 90.00°, 97.55° and 90.00°. The asymmetric unit holds Ta at (0.000, 0.000, 0.000), Ta at (0.245, 0.000, 0.730), Ag at (0.248, 0.500, 0.235) and W at (0.491, 0.000, 0.498).

=====

Entry from the Alexandria database: HfFeCo3 at its PBEsol-relaxed geometry (SCAN).

As for the total energy: -124.8 eV/cell. The value obtained for the energy relative to the elements is 1591 meV/atom. The calculation puts the total moment at 6.23 μB per cell.

The structure belongs to space group Pm-3m (No. 221); the cell edges are 4.372, 4.372 and 4.372 Å and the angles 90.00°, 90.00° and 90.00°. The asymmetric unit holds Hf at (0.000, 0.000, 0.000), Fe at (0.500, 0.500, 0.500) and Co at (0.000, 0.000, 0.500).

=====

Entry from the Alexandria database: RbCo2SiAu at its PBEsol-relaxed geometry (SCAN).

As for the total energy: -122.4 eV/cell. The calculation puts the total moment at 3.33 μB per cell. The calculation puts the uncorrected formation energy at 2425 meV/atom.

The structure belongs to space group P4/mmm (No. 123); the cell edges are 4.408, 4.408 and 5.519 Å and the angles 90.00°, 90.00° and 90.00°. The asymmetric unit holds Rb at (0.000, 0.000, 0.000), Co at (0.000, 0.500, 0.000), Si at (0.500, 0.500, 0.500) and Au at (0.000, 0.000, 0.500).

=====

Entry from the Alexandria database: ReBi2IO at its PBEsol-relaxed geometry (SCAN).

As for the total energy: -263.8 eV/cell. The calculation puts the total moment at 3.47 μB per cell. The calculation puts the uncorrected formation energy at 1482 meV/atom.

The structure belongs to space group P4/mmm (No. 123); the cell edges are 5.858, 5.858 and 3.829 Å and the angles 90.00°, 90.00° and 90.00°. The asymmetric unit holds Re at (0.000, 0.000, 0.000), Bi at (0.000, 0.500, 0.500), I at (0.500, 0.500, 0.500) and O at (0.500, 0.500, 0.000).

=====

Please write out number 2 again, unchanged.
Entry from the Alexandria database: IrI2O2 at its PBEsol-relaxed geometry (SCAN).

As for the total energy: -155.6 eV/cell. The calculation puts the total moment at 1.78 μB per cell. The calculation puts the uncorrected formation energy at 292 meV/atom.

The structure belongs to space group P4/mmm (No. 123); the cell edges are 4.046, 4.046 and 5.679 Å and the angles 90.00°, 90.00° and 90.00°. The asymmetric unit holds Ir at (0.000, 0.000, 0.000), I at (0.000, 0.000, 0.500), I at (0.500, 0.500, 0.500) and O at (0.000, 0.500, 0.000).

=====

Please write out number 6 again, unchanged.
Entry from the Alexandria database: ReBi2IO at its PBEsol-relaxed geometry (SCAN).

As for the total energy: -263.8 eV/cell. The calculation puts the total moment at 3.47 μB per cell. The calculation puts the uncorrected formation energy at 1482 meV/atom.

The structure belongs to space group P4/mmm (No. 123); the cell edges are 5.858, 5.858 and 3.829 Å and the angles 90.00°, 90.00° and 90.00°. The asymmetric unit holds Re at (0.000, 0.000, 0.000), Bi at (0.000, 0.500, 0.500), I at (0.500, 0.500, 0.500) and O at (0.500, 0.500, 0.000).